[1]
## CsK2Ti (PBEsol)

Data for CsK2Ti after structural relaxation.

The structure in CIF format:
```
data_CsK2Ti
_chemical_formula_sum 'Cs4 K8 Ti4'
_cell_length_a 9.378
_cell_length_b 9.378
_cell_length_c 9.378
_cell_angle_alpha 90.00
_cell_angle_beta 90.00
_cell_angle_gamma 90.00
_space_group_name_H-M_alt 'F m -3 m'
_space_group_IT_number 225
_space_group_name_Hall '-F 4 2 3'
loop_
_atom_site_label
_atom_site_fract_x
_atom_site_fract_y
_atom_site_fract_z
Cs1 0.000 0.000 0.000
K1 0.250 0.250 0.250
Ti1 0.000 0.000 0.500
```

total energy = -1.948 eV per atom
formation enthalpy at 0 K = 361 kJ/mol of formula units

---

[2]
## Na2ScBeCo (PBEsol)

Data for Na2ScBeCo after structural relaxation.

The structure in CIF format:
```
data_Na2ScBeCo
_chemical_formula_sum 'Na2 Sc1 Be1 Co1'
_cell_length_a 5.630
_cell_length_b 5.630
_cell_length_c 4.142
_cell_angle_alpha 90.00
_cell_angle_beta 90.00
_cell_angle_gamma 90.00
_space_group_name_H-M_alt 'P 4/m m m'
_space_group_IT_number 123
_space_group_name_Hall '-P 4 2'
loop_
_atom_site_label
_atom_site_fract_x
_atom_site_fract_y
_atom_site_fract_z
Na1 0.000 0.500 0.000
Sc1 0.000 0.000 0.000
Be1 0.500 0.500 0.500
Co1 0.000 0.000 0.500
```

total energy = -2.827 eV per atom
formation enthalpy at 0 K = 676 kJ/mol of formula units

---

[3]
## KCaAu4 (PBEsol)

Data for KCaAu4 after structural relaxation.

The structure in CIF format:
```
data_KCaAu4
_chemical_formula_sum 'K4 Ca4 Au16'
_cell_length_a 7.965
_cell_length_b 7.965
_cell_length_c 7.965
_cell_angle_alpha 90.00
_cell_angle_beta 90.00
_cell_angle_gamma 90.00
_space_group_name_H-M_alt 'F -4 3 m'
_space_group_IT_number 216
_space_group_name_Hall 'F -4 2 3'
loop_
_atom_site_label
_atom_site_fract_x
_atom_site_fract_y
_atom_site_fract_z
K1 0.000 0.000 0.000
Ca1 0.250 0.250 0.250
Au1 0.125 0.125 0.625
```

total energy = -3.571 eV per atom
formation enthalpy at 0 K = -238 kJ/mol of formula units

---

[4]
## CrSbS2 (PBEsol)

Data for CrSbS2 after structural relaxation.

The structure in CIF format:
```
data_CrSbS2
_chemical_formula_sum 'Cr4 Sb4 S8'
_cell_length_a 6.877
_cell_length_b 6.877
_cell_length_c 6.286
_cell_angle_alpha 90.00
_cell_angle_beta 90.00
_cell_angle_gamma 90.00
_space_group_name_H-M_alt 'I -4 2 d'
_space_group_IT_number 122
_space_group_name_Hall 'I -4 2bw'
loop_
_atom_site_label
_atom_site_fract_x
_atom_site_fract_y
_atom_site_fract_z
Cr1 0.000 0.000 0.000
Sb1 0.000 0.000 0.500
S1 0.195 0.250 0.125
```

total energy = -5.999 eV per atom
uncorrected formation energy = -41 kJ/mol of formula units

---

[5]
## CrCdF6 (PBEsol)

Data for CrCdF6 after structural relaxation.

The structure in CIF format:
```
data_CrCdF6
_chemical_formula_sum 'Cr3 Cd3 F18'
_cell_length_a 5.1171
_cell_length_b 5.1171
_cell_length_c 14.0664
_cell_angle_alpha 90.00
_cell_angle_beta 90.00
_cell_angle_gamma 120.00
_space_group_name_H-M_alt 'R -3'
_space_group_IT_number 148
_space_group_name_Hall '-R 3'
loop_
_atom_site_label
_atom_site_fract_x
_atom_site_fract_y
_atom_site_fract_z
Cr1 0.0000 0.0000 0.0000
Cd1 0.0000 0.0000 0.5000
F1 0.0012 0.2917 0.0752
```

total energy = -5.213 eV per atom
uncorrected formation energy = -1804 kJ/mol of formula units

---

[6]
## ScCu2 (PBEsol)

Data for ScCu2 after structural relaxation.

The structure in CIF format:
```
data_ScCu2
_chemical_formula_sum 'Sc2 Cu4'
_cell_length_a 3.235
_cell_length_b 3.257
_cell_length_c 8.250
_cell_angle_alpha 90.00
_cell_angle_beta 90.00
_cell_angle_gamma 90.00
_space_group_name_H-M_alt 'I m m m'
_space_group_IT_number 71
_space_group_name_Hall '-I 2 2'
loop_
_atom_site_label
_atom_site_fract_x
_atom_site_fract_y
_atom_site_fract_z
Sc1 0.000 0.000 0.000
Cu1 0.000 0.000 0.326
```

total energy = -5.341 eV per atom
formation enthalpy at 0 K = -72 kJ/mol of formula units

---

[7]
## Y2BeCr (PBEsol)

Data for Y2BeCr after structural relaxation.

The structure in CIF format:
```
data_Y2BeCr
_chemical_formula_sum 'Y4 Be2 Cr2'
_cell_length_a 3.338
_cell_length_b 4.670
_cell_length_c 10.099
_cell_angle_alpha 90.00
_cell_angle_beta 90.00
_cell_angle_gamma 90.00
_space_group_name_H-M_alt 'I m m 2'
_space_group_IT_number 44
loop_
_space_group_symop_operation_xyz
'x,y,z'
'-x,-y,z'
'-x,y,z'
'x,-y,z'
'x+1/2,y+1/2,z+1/2'
'-x+1/2,-y+1/2,z+1/2'
'-x+1/2,y+1/2,z+1/2'
'x+1/2,-y+1/2,z+1/2'
loop_
_atom_site_label
_atom_site_fract_x
_atom_site_fract_y
_atom_site_fract_z
Y1 0.000 0.000 0.000
Y2 0.000 0.500 0.210
Be1 0.000 0.000 0.450
Cr1 0.000 0.500 0.788
```

total energy = -6.654 eV per atom
formation enthalpy at 0 K = 123 kJ/mol of formula units

---

[8]
## LiTi2VO6 (PBEsol)

Data for LiTi2VO6 after structural relaxation.

The structure in CIF format:
```
data_LiTi2VO6
_chemical_formula_sum 'Li2 Ti4 V2 O12'
_cell_length_a 12.441
_cell_length_b 2.939
_cell_length_c 5.798
_cell_angle_alpha 90.00
_cell_angle_beta 102.13
_cell_angle_gamma 90.00
_space_group_name_H-M_alt 'C 1 2/m 1'
_space_group_IT_number 12
loop_
_space_group_symop_operation_xyz
'x,y,z'
'-x,-y,-z'
'-x,y,-z'
'x,-y,z'
'x+1/2,y+1/2,z'
'-x+1/2,-y+1/2,-z'
'-x+1/2,y+1/2,-z'
'x+1/2,-y+1/2,z'
loop_
_atom_site_label
_atom_site_fract_x
_atom_site_fract_y
_atom_site_fract_z
Li1 0.000 0.000 0.000
Ti1 0.181 0.500 0.795
V1 0.000 0.000 0.500
O1 0.015 0.500 0.736
O2 0.165 0.000 0.580
O3 0.170 0.000 0.035
```

total energy = -8.656 eV per atom
offset from the most stable computed form = 0.000 eV per atom
uncorrected formation energy = -2587 kJ/mol of formula units

---

[9]
## LaB2Ir2C (PBEsol)

Data for LaB2Ir2C after structural relaxation.

The structure in CIF format:
```
data_LaB2Ir2C
_chemical_formula_sum 'La2 B4 Ir4 C2'
_cell_length_a 3.848
_cell_length_b 3.848
_cell_length_c 10.466
_cell_angle_alpha 90.00
_cell_angle_beta 90.00
_cell_angle_gamma 90.00
_space_group_name_H-M_alt 'I 4/m m m'
_space_group_IT_number 139
_space_group_name_Hall '-I 4 2'
loop_
_atom_site_label
_atom_site_fract_x
_atom_site_fract_y
_atom_site_fract_z
La1 0.000 0.000 0.000
B1 0.000 0.000 0.355
Ir1 0.000 0.500 0.250
C1 0.000 0.000 0.500
```

total energy = -8.695 eV per atom
formation enthalpy at 0 K = -337 kJ/mol of formula units

---

[10]
## CdSeO4 (PBEsol)

Data for CdSeO4 after structural relaxation.

The structure in CIF format:
```
data_CdSeO4
_chemical_formula_sum 'Cd4 Se4 O16'
_cell_length_a 5.966
_cell_length_b 8.197
_cell_length_c 8.314
_cell_angle_alpha 90.00
_cell_angle_beta 126.13
_cell_angle_gamma 90.00
_space_group_name_H-M_alt 'P 1 21/c 1'
_space_group_IT_number 14
loop_
_space_group_symop_operation_xyz
'x,y,z'
'-x,-y,-z'
'-x,y+1/2,-z+1/2'
'x,-y+1/2,z+1/2'
loop_
_atom_site_label
_atom_site_fract_x
_atom_site_fract_y
_atom_site_fract_z
Cd1 0.150 0.082 0.376
Se1 0.360 0.691 0.637
O1 0.183 0.631 0.080
O2 0.204 0.559 0.453
O3 0.312 0.228 0.773
O4 0.384 0.617 0.836
```

total energy = -5.167 eV per atom
uncorrected formation energy = -479 kJ/mol of formula units

---

[11]
## SbAsSe2F (PBEsol)

Data for SbAsSe2F after structural relaxation.

The structure in CIF format:
```
data_SbAsSe2F
_chemical_formula_sum 'Sb1 As1 Se2 F1'
_cell_length_a 5.165
_cell_length_b 5.165
_cell_length_c 5.355
_cell_angle_alpha 90.00
_cell_angle_beta 90.00
_cell_angle_gamma 90.00
_space_group_name_H-M_alt 'P 4/m m m'
_space_group_IT_number 123
_space_group_name_Hall '-P 4 2'
loop_
_atom_site_label
_atom_site_fract_x
_atom_site_fract_y
_atom_site_fract_z
Sb1 0.000 0.000 0.000
As1 0.000 0.000 0.500
Se1 0.000 0.500 0.000
F1 0.500 0.500 0.500
```

total energy = -3.210 eV per atom
uncorrected formation energy = 313 kJ/mol of formula units

---

[12]
## Ta2BeSi (PBEsol)

Data for Ta2BeSi after structural relaxation.

The structure in CIF format:
```
data_Ta2BeSi
_chemical_formula_sum 'Ta4 Be2 Si2'
_cell_length_a 3.666
_cell_length_b 4.165
_cell_length_c 7.457
_cell_angle_alpha 90.00
_cell_angle_beta 90.00
_cell_angle_gamma 90.00
_space_group_name_H-M_alt 'I m m m'
_space_group_IT_number 71
_space_group_name_Hall '-I 2 2'
loop_
_atom_site_label
_atom_site_fract_x
_atom_site_fract_y
_atom_site_fract_z
Ta1 0.000 0.000 0.244
Be1 0.000 0.500 0.500
Si1 0.000 0.500 0.000
```

total energy = -8.880 eV per atom
offset from the most stable computed form = 0.402 eV per atom
uncorrected formation energy = -65 kJ/mol of formula units

---

[13]
## RbTmW2O8 (PBEsol)

Data for RbTmW2O8 after structural relaxation.

The structure in CIF format:
```
data_RbTmW2O8
_chemical_formula_sum 'Rb4 Tm4 W8 O32'
_cell_length_a 10.647
_cell_length_b 10.366
_cell_length_c 7.441
_cell_angle_alpha 90.00
_cell_angle_beta 130.52
_cell_angle_gamma 90.00
_space_group_name_H-M_alt 'C 1 2/c 1'
_space_group_IT_number 15
loop_
_space_group_symop_operation_xyz
'x,y,z'
'-x,-y,-z'
'-x,y,-z+1/2'
'x,-y,z+1/2'
'x+1/2,y+1/2,z'
'-x+1/2,-y+1/2,-z'
'-x+1/2,y+1/2,-z+1/2'
'x+1/2,-y+1/2,z+1/2'
loop_
_atom_site_label
_atom_site_fract_x
_atom_site_fract_y
_atom_site_fract_z
Rb1 0.000 0.200 0.250
Tm1 0.000 0.227 0.750
W1 0.197 0.497 0.728
O1 0.020 0.390 0.966
O2 0.129 0.087 0.694
O3 0.190 0.430 0.444
O4 0.217 0.158 0.121
```

total energy = -8.858 eV per atom
uncorrected formation energy = -2968 kJ/mol of formula units

---

[14]
## Rb2Cd3S4 (PBEsol)

Data for Rb2Cd3S4 after structural relaxation.

The structure in CIF format:
```
data_Rb2Cd3S4
_chemical_formula_sum 'Rb8 Cd12 S16'
_cell_length_a 14.060
_cell_length_b 10.502
_cell_length_c 6.564
_cell_angle_alpha 90.00
_cell_angle_beta 90.00
_cell_angle_gamma 90.00
_space_group_name_H-M_alt 'P n m a'
_space_group_IT_number 62
loop_
_space_group_symop_operation_xyz
'x,y,z'
'-x,-y,-z'
'-x+1/2,-y,z+1/2'
'x+1/2,y,-z+1/2'
'x+1/2,-y+1/2,-z+1/2'
'-x+1/2,y+1/2,z+1/2'
'-x,y+1/2,-z'
'x,-y+1/2,z'
loop_
_atom_site_label
_atom_site_fract_x
_atom_site_fract_y
_atom_site_fract_z
Rb1 0.000 0.000 0.000
Rb2 0.036 0.250 0.477
Cd1 0.205 0.750 0.247
Cd2 0.247 0.093 0.184
S1 0.138 0.537 0.400
S2 0.143 0.250 0.959
S3 0.151 0.750 0.888
```

total energy = -3.421 eV per atom
uncorrected formation energy = -734 kJ/mol of formula units

---

[15]
## BaSrMo2 (PBEsol)

Data for BaSrMo2 after structural relaxation.

The structure in CIF format:
```
data_BaSrMo2
_chemical_formula_sum 'Ba1 Sr1 Mo2'
_cell_length_a 3.771
_cell_length_b 3.771
_cell_length_c 7.641
_cell_angle_alpha 90.00
_cell_angle_beta 90.00
_cell_angle_gamma 90.00
_space_group_name_H-M_alt 'P 4/m m m'
_space_group_IT_number 123
_space_group_name_Hall '-P 4 2'
loop_
_atom_site_label
_atom_site_fract_x
_atom_site_fract_y
_atom_site_fract_z
Ba1 0.000 0.000 0.000
Sr1 0.000 0.000 0.500
Mo1 0.500 0.500 0.269
```

total energy = -5.148 eV per atom
offset from the most stable computed form = 0.954 eV per atom
formation enthalpy at 0 K = 669 kJ/mol of formula units

---

[16]
## Mn2TcSb (PBEsol)

Data for Mn2TcSb after structural relaxation.

The structure in CIF format:
```
data_Mn2TcSb
_chemical_formula_sum 'Mn8 Tc4 Sb4'
_cell_length_a 6.058
_cell_length_b 6.058
_cell_length_c 6.058
_cell_angle_alpha 90.00
_cell_angle_beta 90.00
_cell_angle_gamma 90.00
_space_group_name_H-M_alt 'F -4 3 m'
_space_group_IT_number 216
_space_group_name_Hall 'F -4 2 3'
loop_
_atom_site_label
_atom_site_fract_x
_atom_site_fract_y
_atom_site_fract_z
Mn1 0.000 0.000 0.000
Mn2 0.250 0.250 0.250
Tc1 0.000 0.000 0.500
Sb1 0.250 0.250 0.750
```

total energy = -8.731 eV per atom
uncorrected formation energy = 41 kJ/mol of formula units

---

[17]
## LiCu2Ru (PBEsol)

Data for LiCu2Ru after structural relaxation.

The structure in CIF format:
```
data_LiCu2Ru
_chemical_formula_sum 'Li2 Cu4 Ru2'
_cell_length_a 5.253
_cell_length_b 7.478
_cell_length_c 2.461
_cell_angle_alpha 90.00
_cell_angle_beta 90.00
_cell_angle_gamma 90.00
_space_group_name_H-M_alt 'C m m m'
_space_group_IT_number 65
_space_group_name_Hall '-C 2 2'
loop_
_atom_site_label
_atom_site_fract_x
_atom_site_fract_y
_atom_site_fract_z
Li1 0.000 0.000 0.000
Cu1 0.250 0.250 0.500
Ru1 0.000 0.500 0.000
```

total energy = -5.129 eV per atom
offset from the most stable computed form = 0.000 eV per atom
formation enthalpy at 0 K = 28 kJ/mol of formula units

---

[18]
## NaCr2O4 (PBEsol)

Data for NaCr2O4 after structural relaxation.

The structure in CIF format:
```
data_NaCr2O4
_chemical_formula_sum 'Na4 Cr8 O16'
_cell_length_a 8.910
_cell_length_b 2.905
_cell_length_c 10.403
_cell_angle_alpha 90.00
_cell_angle_beta 90.00
_cell_angle_gamma 90.00
_space_group_name_H-M_alt 'P n m a'
_space_group_IT_number 62
loop_
_space_group_symop_operation_xyz
'x,y,z'
'-x,-y,-z'
'-x+1/2,-y,z+1/2'
'x+1/2,y,-z+1/2'
'x+1/2,-y+1/2,-z+1/2'
'-x+1/2,y+1/2,z+1/2'
'-x,y+1/2,-z'
'x,-y+1/2,z'
loop_
_atom_site_label
_atom_site_fract_x
_atom_site_fract_y
_atom_site_fract_z
Na1 0.242 0.250 0.155
Cr1 0.063 0.250 0.387
Cr2 0.082 0.250 0.896
O1 0.024 0.750 0.785
O2 0.075 0.250 0.572
O3 0.112 0.750 0.018
O4 0.205 0.750 0.352
```

total energy = -8.078 eV per atom
uncorrected formation energy = -1318 kJ/mol of formula units

---

[19]
## CrHS2 (PBEsol)

Data for CrHS2 after structural relaxation.

The structure in CIF format:
```
data_CrHS2
_chemical_formula_sum 'Cr3 H3 S6'
_cell_length_a 3.5090
_cell_length_b 3.5090
_cell_length_c 17.1363
_cell_angle_alpha 90.00
_cell_angle_beta 90.00
_cell_angle_gamma 120.00
_space_group_name_H-M_alt 'R -3 m'
_space_group_IT_number 166
_space_group_name_Hall '-R 3 2"'
loop_
_atom_site_label
_atom_site_fract_x
_atom_site_fract_y
_atom_site_fract_z
Cr1 0.0000 0.0000 0.0000
H1 0.0000 0.0000 0.5000
S1 0.0000 0.0000 0.4050
```

total energy = -6.043 eV per atom

---

[20]
## TcIr2Pt (PBEsol)

Data for TcIr2Pt after structural relaxation.

The structure in CIF format:
```
data_TcIr2Pt
_chemical_formula_sum 'Tc3 Ir6 Pt3'
_cell_length_a 2.7117
_cell_length_b 2.7117
_cell_length_c 26.8300
_cell_angle_alpha 90.00
_cell_angle_beta 90.00
_cell_angle_gamma 120.00
_space_group_name_H-M_alt 'R -3 m'
_space_group_IT_number 166
_space_group_name_Hall '-R 3 2"'
loop_
_atom_site_label
_atom_site_fract_x
_atom_site_fract_y
_atom_site_fract_z
Tc1 0.0000 0.0000 0.0000
Ir1 0.0000 0.0000 0.2535
Pt1 0.0000 0.0000 0.5000
```

total energy = -9.584 eV per atom
offset from the most stable computed form = 0.022 eV per atom
formation enthalpy at 0 K = -44 kJ/mol of formula units